Density functional theory data (PBE) for an optimized crystal structure of Sr2ThSb3Ir4.

Output
E: -6.44 eV per atom
Theoretical density: 10.78 g/cm³
Formation energy without anion corrections: -580 meV/atom
DOS at the Fermi energy: 0.5690 states/eV/atom

abc: 4.5622 4.5622 11.4058
angles: 90.00 90.00 90.00
Element x y z (fractional)
Sr 0.0000 0.5000 0.2279
Sr 0.5000 0.0000 0.7721
Th 0.0000 0.0000 0.5000
Sb 0.0000 0.5000 0.8729
Sb 0.5000 0.0000 0.1271
Sb 0.5000 0.5000 0.5000
Ir 0.0000 0.0000 0.0000
Ir 0.0000 0.5000 0.6430
Ir 0.5000 0.0000 0.3570
Ir 0.5000 0.5000 0.0000

Density functional theory data (PBE) for an optimized crystal structure of Ta2SbIr2.

Output
E: -9.42 eV per atom
Theoretical density: 15.83 g/cm³
Formation energy without anion corrections: -313 meV/atom
DOS at the Fermi energy: 0.6062 states/eV/atom

abc: 7.8984 7.8984 2.9193
angles: 90.00 90.00 90.00
Element x y z (fractional)
Ta 0.1524 0.3476 0.0000
Ta 0.3476 0.8476 0.0000
Ta 0.6524 0.1524 0.0000
Ta 0.8476 0.6524 0.0000
Sb 0.0000 0.0000 0.5000
Sb 0.5000 0.5000 0.5000
Ir 0.1370 0.6370 0.5000
Ir 0.3630 0.1370 0.5000
Ir 0.6370 0.8630 0.5000
Ir 0.8630 0.3630 0.5000

Density functional theory data (PBE) for an optimized crystal structure of TaSb2Ir.

Output
E: -7.01 eV per atom
Theoretical density: 13.44 g/cm³
Polymorph energy (0 for the lowest one): 0.327 eV per atom
Formation energy without anion corrections: 233 meV/atom
DOS at the Fermi energy: 0.2610 states/eV/atom

abc: 4.7589 4.7589 4.7589
angles: 60.00 60.00 60.00
Element x y z (fractional)
Ta 0.0000 0.0000 0.0000
Sb 0.2500 0.2500 0.2500
Sb 0.7500 0.7500 0.7500
Ir 0.5000 0.5000 0.5000